Arrangement i

The following is a DFT calculation (PBE-GGA) of crystalline HPd2Pt2 at its relaxed geometry.

It has space group I4/mmm (No. 139), with a = 3.623 Å, b = 3.623 Å, c = 12.836 Å, α = 90.00°, β = 90.00° and γ = 90.00°. The distinct sites, in fractional coordinates, are H at (0.000, 0.000, 0.000), Pd at (0.000, 0.500, 0.250) and Pt at (0.000, 0.000, 0.404).

***

Arrangement ii

The following is a DFT calculation (PBE-GGA) of crystalline HPd2Pt2 at its relaxed geometry.

It has space group P4/mbm (No. 127), with a = 5.304 Å, b = 5.304 Å, c = 4.892 Å, α = 90.00°, β = 90.00° and γ = 90.00°. The distinct sites, in fractional coordinates, are H at (0.000, 0.000, 0.000), Pd at (0.177, 0.323, 0.500) and Pt at (0.178, 0.678, 0.000).

***

Arrangement iii

The following is a DFT calculation (PBE-GGA) of crystalline HPd2Pt2 at its relaxed geometry.

It has space group C2/m (No. 12), with a = 4.842 Å, b = 2.794 Å, c = 9.513 Å, α = 90.00°, β = 90.14° and γ = 90.00°. The distinct sites, in fractional coordinates, are H at (0.000, 0.000, 0.000), Pd at (0.165, 0.500, 0.871) and Pt at (0.168, 0.500, 0.376).

***

Energies, relative to the best one, in kJ/mol of atoms: arrangement i 90.9; arrangement ii 13.9; arrangement iii 0.0.

***

Arrangement i

The following is a DFT calculation (PBE-GGA) of crystalline HPd4Pt at its relaxed geometry.

It has space group P2/m (No. 10), with a = 4.186 Å, b = 2.746 Å, c = 7.329 Å, α = 90.00°, β = 105.97° and γ = 90.00°. The distinct sites, in fractional coordinates, are H at (0.000, 0.000, 0.000), Pd at (0.104, 0.000, 0.697), Pd at (0.310, 0.500, 0.117) and Pt at (0.500, 0.500, 0.500).

***

Arrangement ii

The following is a DFT calculation (PBE-GGA) of crystalline HPd4Pt at its relaxed geometry.

It has space group I4_1md (No. 109), with a = 7.383 Å, b = 7.383 Å, c = 7.174 Å, α = 90.00°, β = 90.00° and γ = 90.00°. The distinct sites, in fractional coordinates, are H at (0.000, 0.000, 0.000), Pd at (0.000, 0.175, 0.772), Pd at (0.000, 0.197, 0.152) and Pt at (0.000, 0.000, 0.445).

***

Energies, relative to the best one, in kJ/mol of atoms: arrangement i 0.0; arrangement ii 39.0.